Te3IrAu | GGA-PBEsol | optimized geometry

CIF file:
```
data_Te3IrAu
_symmetry_space_group_name_H-M 'P 1'
_symmetry_Int_Tables_number 1
_cell_length_a 5.198
_cell_length_b 5.198
_cell_length_c 5.198
_cell_angle_alpha 90.00
_cell_angle_beta 90.00
_cell_angle_gamma 90.00
loop_
_symmetry_equiv_pos_as_xyz
'x,y,z'
loop_
_atom_site_label
_atom_site_fract_x
_atom_site_fract_y
_atom_site_fract_z
Te1 0.000 0.500 0.000
Te2 0.000 0.000 0.500
Te3 0.500 0.000 0.000
Ir1 0.500 0.500 0.500
Au1 0.000 0.000 0.000
```

The crystal system is cubic. The calculation puts the formation energy (no corrections) at 713 kJ/mol of formula units. For the calculated density, the calculation gives 9.1 g/cm3.


Ti2Ir2Au | GGA-PBEsol | optimized geometry

CIF file:
```
data_Ti2Ir2Au
_symmetry_space_group_name_H-M 'P 1'
_symmetry_Int_Tables_number 1
_cell_length_a 2.921
_cell_length_b 7.296
_cell_length_c 7.296
_cell_angle_alpha 90.00
_cell_angle_beta 90.00
_cell_angle_gamma 90.00
loop_
_symmetry_equiv_pos_as_xyz
'x,y,z'
loop_
_atom_site_label
_atom_site_fract_x
_atom_site_fract_y
_atom_site_fract_z
Ir1 0.000 0.363 0.863
Ir2 0.000 0.863 0.637
Ir3 0.000 0.637 0.137
Ir4 0.000 0.137 0.363
Au1 0.000 0.000 0.000
Au2 0.000 0.500 0.500
Ti1 0.500 0.160 0.660
Ti2 0.500 0.660 0.840
Ti3 0.500 0.840 0.340
Ti4 0.500 0.340 0.160
```

The value obtained for the formation energy is -312 kJ/mol of formula units. The crystal system is tetragonal. For the calculated density, the calculation gives 14.5 g/cm3.